(1)
Entry from Alexandria: Th3CI3 after structural relaxation (PBE).

The structure in POSCAR format:
```
Th3CI3
1.0
3.8656 0.0000 0.0000
0.0000 9.1900 -0.4658
0.0000 -0.0185 12.0565
Th C I
6 2 6
Cartesian
2.8992 6.4973 4.3212
0.9664 8.1587 1.7076
2.8992 0.8241 4.7352
2.8992 1.0127 9.8831
0.9664 8.3473 6.8555
0.9664 2.6741 7.2695
2.8992 0.9591 7.3249
0.9664 8.2124 4.2658
0.9664 3.4990 10.3870
2.8992 5.6725 1.2037
2.8992 1.4238 1.3478
2.8992 5.5337 7.4508
0.9664 3.6378 4.1399
0.9664 7.7477 10.2429
```

For the uncorrected formation energy, the calculation gives -0.791 eV per atom. For the calculated density, the calculation gives 8.4 Mg/m³. The value obtained for the total energy is -83.34 eV for the cell shown.

***

(2)
Entry from Alexandria: PmHo3O after structural relaxation (PBE).

The structure in POSCAR format:
```
PmHo3O
1.0
4.9431 0.0000 0.0000
0.0000 4.9431 0.0000
0.0000 0.0000 4.9431
Pm Ho O
1 3 1
Cartesian
2.4715 2.4715 2.4715
0.0000 2.4715 0.0000
2.4715 0.0000 0.0000
0.0000 0.0000 2.4715
0.0000 0.0000 0.0000
```

For the uncorrected formation energy, the calculation gives -1.075 eV per atom. For the calculated density, the calculation gives 9.0 Mg/m³. The value obtained for the total energy is -28.82 eV for the cell shown.

***

(3)
Entry from Alexandria: ErSc5S6 after structural relaxation (PBE).

The structure in POSCAR format:
```
ErSc5S6
1.0
-1.7599 -6.0124 1.5377
2.9622 1.1788 -5.6077
4.9927 0.7159 4.0199
Sc S Er
5 6 1
Cartesian
1.5095 -4.4771 2.3780
-0.1851 -3.6141 -0.8453
1.3873 -1.2195 -3.2247
3.0975 -2.0588 -0.0250
4.6855 0.3596 -2.4280
3.8118 -4.2904 1.1811
4.0386 -0.7042 1.9602
2.1563 -3.4134 -2.0103
5.4196 -1.8418 -1.2519
2.3832 0.1728 -1.2311
0.7753 -2.2758 1.2019
0.0000 0.0000 0.0000
```

For the uncorrected formation energy, the calculation gives -1.882 eV per atom. For the calculated density, the calculation gives 4.4 Mg/m³. The value obtained for the total energy is -83.57 eV for the cell shown.